[1]
{"formula": "CePmPrAl", "functional": "PBE", "state": "optimized geometry", "formation_enthalpy_0k_ev_per_fu": 0.0, "dos_ef_per_ev_atom": 1.742, "mass_density_g_cm3": 6.7, "total_magnetization_mub_per_cell": 0.00, "cell": [[-0.840, 4.984, 1.970], [-5.059, 1.773, 0.826], [-1.858, 0.641, 5.056]], "species": ["Pr", "Al", "Ce", "Pm"], "frac_coords": [[0.000, 0.000, 0.000], [0.250, 0.250, 0.250], [0.750, 0.750, 0.750], [0.500, 0.500, 0.500]]}

=====

[2]
{"formula": "CePmScAl", "functional": "PBE", "state": "optimized geometry", "formation_enthalpy_0k_ev_per_fu": -0.2, "dos_ef_per_ev_atom": 2.244, "mass_density_g_cm3": 5.6, "total_magnetization_mub_per_cell": 1.12, "cell": [[5.296, 0.000, 0.000], [2.648, 4.587, 0.000], [2.648, 1.529, 4.325]], "species": ["Sc", "Al", "Ce", "Pm"], "frac_coords": [[0.750, 0.750, 0.750], [0.250, 0.250, 0.250], [0.000, 0.000, 0.000], [0.500, 0.500, 0.500]]}

=====

[3]
{"formula": "Ce2PmAl2Si2", "functional": "PBE", "state": "optimized geometry", "dos_ef_per_ev_atom": 1.454, "mass_density_g_cm3": 5.9, "e_form_raw_mev_per_atom": -404, "total_magnetization_mub_per_cell": 1.78, "cell": [[-0.407, -4.215, 0.770], [-0.049, -2.791, -3.275], [9.121, -3.131, -0.295]], "species": ["Ce", "Ce", "Pm", "Al", "Al", "Si", "Si"], "frac_coords": [[0.139, 0.139, 0.584], [0.861, 0.861, 0.416], [0.000, 0.000, 0.000], [0.594, 0.594, 0.218], [0.406, 0.406, 0.782], [0.738, 0.738, 0.786], [0.262, 0.262, 0.214]]}

=====

[4]
{"formula": "CePmAlSi", "functional": "PBE", "state": "optimized geometry", "dos_ef_per_ev_atom": 1.544, "relative_energy_mev_per_atom": 0, "mass_density_g_cm3": 5.6, "e_form_raw_mev_per_atom": -536, "total_magnetization_mub_per_cell": 1.33, "cell": [[4.422, 0.000, 0.000], [0.000, 4.045, 0.000], [-2.211, 0.000, 5.616]], "species": ["Ce", "Pm", "Al", "Si"], "frac_coords": [[0.142, 0.000, 0.283], [0.854, 0.500, 0.708], [0.432, 0.000, 0.865], [0.572, 0.500, 0.144]]}

=====

Calculated volume per entry: 28.213, 26.265, 21.363, 25.112 Å³/atom
Total energy per entry: -4.797, -5.246, -5.397, -5.499 eV/atom